[1]
DFT (PBE) results for ScPt2S4 after structural relaxation.

Its formation energy from raw total energies is -0.80 eV per formula unit. Its total energy is -35.72 eV/cell. The crystal system is tetragonal. As for the density of states at the Fermi level: 6.429 states/eV per cell.

a = 4.946 Å, b = 4.946 Å, c = 6.961 Å
α = 69.19°, β = 69.19°, γ = 90.00°
Fractional positions:
S: 0.211 0.211 0.579
Sc: 0.000 0.000 0.000
S: 0.789 0.789 0.421
S: 0.500 0.000 0.000
S: 0.000 0.500 0.000
Pt: 0.394 0.394 0.211
Pt: 0.606 0.606 0.789

=====

[2]
DFT (PBE) results for Sc2Pt2S after structural relaxation.

Its formation energy from raw total energies is -5.14 eV per formula unit. Its total energy is -68.03 eV/cell. The crystal system is tetragonal. As for the density of states at the Fermi level: 1.359 states/eV per cell.

a = 7.301 Å, b = 7.301 Å, c = 3.553 Å
α = 90.00°, β = 90.00°, γ = 90.00°
Fractional positions:
S: 0.500 0.500 0.000
Pt: 0.129 0.629 0.500
Sc: 0.327 0.827 0.000
Sc: 0.673 0.173 0.000
Sc: 0.827 0.673 0.000
Sc: 0.173 0.327 0.000
Pt: 0.371 0.129 0.500
S: 0.000 0.000 0.000
Pt: 0.871 0.371 0.500
Pt: 0.629 0.871 0.500

=====

[3]
DFT (PBE) results for ScPtS after structural relaxation.

Its formation energy from raw total energies is -3.38 eV per formula unit. Its total energy is -19.88 eV/cell. The crystal system is tetragonal. As for the density of states at the Fermi level: 1.083 states/eV per cell. The energy above the most stable polymorph in this dataset comes out at 0.551 eV/f.u.

a = 3.319 Å, b = 3.319 Å, c = 5.152 Å
α = 90.00°, β = 90.00°, γ = 90.00°
Fractional positions:
S: 0.500 0.500 0.709
Pt: 0.500 0.500 0.242
Sc: 0.000 0.000 0.934

=====

[4]
DFT (PBE) results for Sc6Pt2S after structural relaxation.

Its formation energy from raw total energies is -9.01 eV per formula unit. Its total energy is -126.43 eV/cell. The crystal system is monoclinic. As for the density of states at the Fermi level: 19.722 states/eV per cell.

a = 6.094 Å, b = 6.740 Å, c = 9.292 Å
α = 90.00°, β = 88.42°, γ = 90.00°
Fractional positions:
Sc: 0.684 0.171 0.064
Sc: 0.837 0.688 0.064
Sc: 0.337 0.812 0.564
Sc: 0.163 0.312 0.936
S: 0.500 0.500 0.000
Pt: 0.050 0.606 0.757
Sc: 0.316 0.829 0.936
Pt: 0.550 0.894 0.257
Sc: 0.364 0.535 0.257
Sc: 0.864 0.965 0.757
Sc: 0.816 0.671 0.436
Sc: 0.184 0.329 0.564
Pt: 0.450 0.106 0.743
S: 0.000 0.000 0.500
Sc: 0.663 0.188 0.436
Sc: 0.136 0.035 0.243
Sc: 0.636 0.465 0.743
Pt: 0.950 0.394 0.243

=====

[5]
DFT (PBE) results for ScPtS after structural relaxation.

Its formation energy from raw total energies is -3.91 eV per formula unit. Its total energy is -81.64 eV/cell. The crystal system is monoclinic. As for the density of states at the Fermi level: 1.839 states/eV per cell. The energy above the most stable polymorph in this dataset comes out at 0.023 eV/f.u.

a = 8.213 Å, b = 5.212 Å, c = 5.227 Å
α = 90.00°, β = 104.28°, γ = 90.00°
Fractional positions:
Pt: 0.481 0.278 0.747
S: 0.135 0.390 0.803
Sc: 0.209 0.893 0.831
S: 0.135 0.890 0.303
Sc: 0.209 0.393 0.331
Pt: 0.519 0.278 0.253
S: 0.865 0.890 0.697
Sc: 0.791 0.893 0.169
Pt: 0.519 0.778 0.753
Sc: 0.791 0.393 0.669
Pt: 0.481 0.778 0.247
S: 0.865 0.390 0.197

=====

[6]
DFT (PBE) results for ScPtS after structural relaxation.

Its formation energy from raw total energies is -3.58 eV per formula unit. Its total energy is -80.32 eV/cell. The crystal system is monoclinic. As for the density of states at the Fermi level: 3.747 states/eV per cell. The energy above the most stable polymorph in this dataset comes out at 0.353 eV/f.u.

a = 6.471 Å, b = 3.635 Å, c = 9.586 Å
α = 90.00°, β = 104.46°, γ = 90.00°
Fractional positions:
S: 0.753 0.000 0.386
Sc: 0.177 0.000 0.500
Sc: 0.177 0.500 0.000
Pt: 0.400 0.000 0.242
Sc: 0.722 0.500 0.170
Pt: 0.400 0.500 0.742
Pt: 0.466 0.000 0.970
Pt: 0.466 0.500 0.470
Sc: 0.722 0.000 0.670
S: 0.032 0.500 0.652
S: 0.753 0.500 0.886
S: 0.032 0.000 0.152

=====

[7]
DFT (PBE) results for ScPtS after structural relaxation.

Its formation energy from raw total energies is -3.33 eV per formula unit. Its total energy is -79.34 eV/cell. The crystal system is monoclinic. As for the density of states at the Fermi level: 1.511 states/eV per cell. The energy above the most stable polymorph in this dataset comes out at 0.600 eV/f.u.

a = 8.039 Å, b = 3.482 Å, c = 9.149 Å
α = 90.00°, β = 117.64°, γ = 90.00°
Fractional positions:
Pt: 0.407 0.000 0.749
Sc: 0.763 0.000 0.990
S: 0.772 0.500 0.204
Pt: 0.434 0.000 0.478
Sc: 0.763 0.500 0.490
S: 0.033 0.500 0.040
Sc: 0.140 0.000 0.874
Pt: 0.407 0.500 0.249
Sc: 0.140 0.500 0.374
Pt: 0.434 0.500 0.978
S: 0.033 0.000 0.540
S: 0.772 0.000 0.704

=====

[8]
DFT (PBE) results for ScPtS after structural relaxation.

Its formation energy from raw total energies is -3.93 eV per formula unit. Its total energy is -40.87 eV/cell. The crystal system is tetragonal. As for the density of states at the Fermi level: 5.853 states/eV per cell. The energy above the most stable polymorph in this dataset comes out at 0.000 eV/f.u.

a = 3.491 Å, b = 3.491 Å, c = 8.913 Å
α = 90.00°, β = 90.00°, γ = 90.00°
Fractional positions:
Sc: 0.750 0.750 0.251
Sc: 0.250 0.250 0.749
S: 0.750 0.750 0.852
S: 0.250 0.250 0.148
Pt: 0.250 0.250 0.426
Pt: 0.750 0.750 0.574